w:
A plane-wave DFT calculation with PBE was carried out for a relaxed PmZrPt2 crystal.

abc: 3.635 4.435 5.631
angles: 90.00 108.67 90.00
Sites, in units of the cell vectors:
Pt 0.991 0.000 0.520
Pt 0.171 0.500 0.881
Pm 0.724 0.000 0.988
Zr 0.445 0.500 0.428

Computed properties:
Crystal system: monoclinic

x:
A plane-wave DFT calculation with PBE was carried out for a relaxed PmZrPt2 crystal.

abc: 4.449 5.555 7.373
angles: 108.22 90.00 90.00
Sites, in units of the cell vectors:
Pt 0.250 0.831 0.240
Pt 0.750 0.169 0.760
Pt 0.750 0.193 0.327
Pt 0.250 0.807 0.673
Zr 0.750 0.715 0.434
Zr 0.250 0.285 0.566
Pm 0.750 0.723 0.928
Pm 0.250 0.277 0.072

Computed properties:
Crystal system: monoclinic

The least stable of them is w.

w:
A plane-wave DFT calculation with PBE was carried out for a relaxed PmZrPt2 crystal.

abc: 4.639 4.639 5.480
angles: 64.96 64.96 60.00
Sites, in units of the cell vectors:
Pt 0.785 0.785 0.646
Pt 0.215 0.215 0.354
Pm 0.000 0.000 0.000
Zr 0.500 0.500 0.500

Computed properties:
Crystal system: trigonal

x:
A plane-wave DFT calculation with PBE was carried out for a relaxed PmZrPt2 crystal.

abc: 3.395 3.395 7.301
angles: 90.00 90.00 90.00
Sites, in units of the cell vectors:
Pt 0.000 0.000 0.792
Pt 0.000 0.000 0.208
Pm 0.500 0.500 0.500
Zr 0.500 0.500 0.000

Computed properties:
Crystal system: tetragonal

The least stable of them is w.

w:
A plane-wave DFT calculation with PBE was carried out for a relaxed PmPu3 crystal.

abc: 4.849 4.849 4.849
angles: 90.00 90.00 90.00
Site moments in Bohr magnetons follow the coordinates.
Sites, in units of the cell vectors:
Pu 0.000 0.500 0.500  5.46
Pu 0.500 0.500 0.000  5.46
Pu 0.500 0.000 0.500  5.46
Pm 0.000 0.000 0.000  0.09

Computed properties:
Crystal system: cubic

x:
A plane-wave DFT calculation with PBE was carried out for a relaxed PmPu3 crystal.

abc: 6.985 6.985 5.493
angles: 90.00 90.00 120.00
Site moments in Bohr magnetons follow the coordinates.
Sites, in units of the cell vectors:
Pu 0.838 0.162 0.750  5.56
Pu 0.676 0.838 0.250  5.56
Pu 0.838 0.676 0.750  5.56
Pu 0.162 0.324 0.250  5.56
Pu 0.162 0.838 0.250  5.56
Pu 0.324 0.162 0.750  5.56
Pm 0.667 0.333 0.250  0.16
Pm 0.333 0.667 0.750  0.16

Computed properties:
Crystal system: hexagonal

The least stable of them is x.

w:
A plane-wave DFT calculation with PBE was carried out for a relaxed Pm3Pu crystal.

abc: 5.041 5.041 6.224
angles: 113.89 113.89 90.00
Site moments in Bohr magnetons follow the coordinates.
Sites, in units of the cell vectors:
Pm 0.250 0.750 0.500  0.11
Pm 0.750 0.250 0.500  0.11
Pm 0.500 0.500 0.000  0.11
Pu 0.000 0.000 0.000  5.57

Computed properties:
Crystal system: tetragonal

x:
A plane-wave DFT calculation with PBE was carried out for a relaxed Pm3Pu crystal.

abc: 5.069 5.069 5.069
angles: 90.00 90.00 90.00
Site moments in Bohr magnetons follow the coordinates.
Sites, in units of the cell vectors:
Pm 0.500 0.000 0.500  0.06
Pm 0.000 0.500 0.500  0.06
Pm 0.500 0.500 0.000  0.06
Pu 0.000 0.000 0.000  5.53

Computed properties:
Crystal system: cubic

y:
A plane-wave DFT calculation with PBE was carried out for a relaxed Pm3Pu crystal.

abc: 5.715 5.715 5.715
angles: 60.00 60.00 60.00
Site moments in Bohr magnetons follow the coordinates.
Sites, in units of the cell vectors:
Pu 0.500 0.500 0.500  5.64
Pm 0.000 0.000 0.000  0.23
Pm 0.250 0.250 0.250  0.25
Pm 0.750 0.750 0.750  0.25

Computed properties:
Crystal system: cubic

z:
A plane-wave DFT calculation with PBE was carried out for a relaxed Pm3Pu crystal.

abc: 3.578 5.839 6.284
angles: 90.00 90.00 90.00
Site moments in Bohr magnetons follow the coordinates.
Sites, in units of the cell vectors:
Pu 0.000 0.500 0.329  5.59
Pm 0.500 0.500 0.831  0.11
Pm 0.500 0.000 0.500  0.08
Pm 0.000 0.000 0.007  0.01

Computed properties:
Crystal system: orthorhombic

The least stable of them is y.

w:
A plane-wave DFT calculation with PBE was carried out for a relaxed PmPu2Re crystal.

abc: 3.295 3.295 9.106
angles: 90.00 90.00 90.00
Site moments in Bohr magnetons follow the coordinates.
Sites, in units of the cell vectors:
Pu 0.000 0.000 0.805  5.13
Pu 0.000 0.000 0.195  5.13
Pm 0.500 0.500 0.500  0.07
Re 0.500 0.500 0.000  -0.68

Computed properties:
Crystal system: tetragonal

x:
A plane-wave DFT calculation with PBE was carried out for a relaxed PmPu2Re crystal.

abc: 4.758 4.758 5.626
angles: 64.99 64.99 60.00
Site moments in Bohr magnetons follow the coordinates.
Sites, in units of the cell vectors:
Pu 0.728 0.728 0.815  5.22
Pu 0.272 0.272 0.185  5.22
Pm 0.500 0.500 0.500  0.41
Re 0.000 0.000 0.000  -0.69

Computed properties:
Crystal system: trigonal

The least stable of them is x.

w:
A plane-wave DFT calculation with PBE was carried out for a relaxed PmPuRh crystal.

abc: 3.586 6.189 7.171
angles: 106.60 90.03 73.09
Site moments in Bohr magnetons follow the coordinates.
Sites, in units of the cell vectors:
Rh 0.046 0.099 0.391  -0.17
Rh 0.080 0.030 0.905  -0.17
Pm 0.421 0.350 0.727  0.15
Pm 0.705 0.778 0.569  0.15
Pu 0.703 0.783 0.088  5.36
Pu 0.423 0.345 0.209  5.36

Computed properties:
Crystal system: triclinic

x:
A plane-wave DFT calculation with PBE was carried out for a relaxed PmPuRh crystal.

abc: 7.251 8.711 8.711
angles: 67.21 65.40 65.41
Site moments in Bohr magnetons follow the coordinates.
Sites, in units of the cell vectors:
Pu 0.503 0.625 0.625  5.37
Pu 0.503 0.125 0.125  5.37
Pu 0.003 0.000 0.000  5.37
Pu 0.753 0.875 0.875  5.37
Pu 0.003 0.500 0.500  5.37
Pu 0.753 0.375 0.375  5.37
Rh 0.420 0.333 0.333  -0.17
Rh 0.420 0.833 0.833  -0.17
Rh 0.754 0.249 0.749  -0.03
Rh 0.087 0.167 0.167  -0.17
Rh 0.087 0.667 0.667  -0.17
Rh 0.752 0.751 0.251  -0.03
Pm 0.753 0.457 0.957  0.13
Pm 0.168 0.543 0.043  0.13
Pm 0.338 0.750 0.250  0.13
Pm 0.169 0.042 0.542  0.13
Pm 0.753 0.958 0.458  0.13
Pm 0.338 0.250 0.750  0.13

Computed properties:
Crystal system: orthorhombic

The least stable of them is w.